Model A:
First-principles (GGA-PBEsol) data for crystalline InCo3Se at its relaxed geometry, as listed in Alexandria.

Cell lengths 4.6121, 4.6121, 4.6121 Å; angles 90.00, 90.00, 90.00 degrees
With the nearest neighbours (Å) after each atom.
Atoms (fractional coordinates):
In 0.0000 0.0000 0.0000  6 Co 2.31
Co 0.0000 0.0000 0.5000  2 In 2.31
Co 0.0000 0.5000 0.0000  2 In 2.31
Co 0.5000 0.0000 0.0000  2 In 2.31
Se 0.5000 0.5000 0.5000  12 Co 3.26

ρ = 6.3 Mg/m³
Symmetry = No. 221

=====

Model B:
First-principles (GGA-PBEsol) data for crystalline InCo3Se at its relaxed geometry, as listed in Alexandria.

Cell lengths 4.2575, 4.2575, 4.2575 Å; angles 90.00, 90.00, 90.00 degrees
With the nearest neighbours (Å) after each atom.
Atoms (fractional coordinates):
In 0.0000 0.0000 0.0000  12 Co 3.01
Co 0.0000 0.5000 0.5000  2 Se 2.13
Co 0.5000 0.0000 0.5000  2 Se 2.13
Co 0.5000 0.5000 0.0000  2 Se 2.13
Se 0.5000 0.5000 0.5000  6 Co 2.13

ρ = 8.0 Mg/m³
Symmetry = No. 221

=====

It is model B that is the most stable of them.

=====

Model A:
First-principles (GGA-PBEsol) data for crystalline Co5Ir at its relaxed geometry, as listed in Alexandria.

Cell lengths 4.7465, 4.7465, 5.9213 Å; angles 104.21, 104.21, 31.05 degrees
With the nearest neighbours (Å) after each atom.
Atoms (fractional coordinates):
Co 0.0000 0.0000 0.0000  9 Co 2.48-2.55, 3 Ir 2.48-2.50
Co 0.0527 0.0527 0.5978  10 Co 2.43-2.55, 2 Ir 2.54
Co 0.3369 0.3369 0.6559  10 Co 2.41-2.54, 2 Ir 2.53
Co 0.3922 0.3922 0.2792  10 Co 2.41-2.54, 2 Ir 2.56
Co 0.6674 0.6674 0.3356  11 Co 2.44-2.54, 1 Ir 2.53
Ir 0.7212 0.7212 0.9375  10 Co 2.48-2.56, 2 Ir 2.54

ρ = 12.2 Mg/m³
Symmetry = No. 8

=====

Model B:
First-principles (GGA-PBEsol) data for crystalline Co5Ir at its relaxed geometry, as listed in Alexandria.

Cell lengths 4.3409, 4.3409, 4.0509 Å; angles 90.00, 90.00, 120.00 degrees
With the nearest neighbours (Å) after each atom.
Atoms (fractional coordinates):
Co 0.0000 0.6581 0.0000  10 Co 2.47-2.57, 2 Ir 2.51
Co 0.3333 0.6667 0.5000  9 Co 2.48-2.51, 3 Ir 2.51
Co 0.3419 0.3419 0.0000  10 Co 2.47-2.57, 2 Ir 2.51
Co 0.6581 0.0000 0.0000  10 Co 2.47-2.57, 2 Ir 2.51
Co 0.6667 0.3333 0.5000  9 Co 2.48-2.51, 3 Ir 2.51
Ir 0.0000 0.0000 0.5000  12 Co 2.51

ρ = 12.2 Mg/m³
Symmetry = No. 189

=====

It is model B that is the most stable of them.

=====

Model A:
First-principles (GGA-PBEsol) data for crystalline MnCo2Ir at its relaxed geometry, as listed in Alexandria.

Cell lengths 3.5660, 3.5660, 3.5704 Å; angles 90.00, 90.00, 90.00 degrees
With the nearest neighbours (Å) after each atom.
Atoms (fractional coordinates):
Mn 0.0000 0.0000 0.0000  4 Ir 2.52, 8 Co 2.52
Co 0.0000 0.5000 0.5000  4 Co 2.52, 4 Mn 2.52, 4 Ir 2.52
Co 0.5000 0.0000 0.5000  4 Co 2.52, 4 Mn 2.52, 4 Ir 2.52
Ir 0.5000 0.5000 0.0000  4 Mn 2.52, 8 Co 2.52

ρ = 13.4 Mg/m³
Symmetry = No. 123

=====

Model B:
First-principles (GGA-PBEsol) data for crystalline MnCo2Ir at its relaxed geometry, as listed in Alexandria.

Cell lengths 4.3397, 4.3397, 4.3539 Å; angles 100.07, 100.07, 34.19 degrees
With the nearest neighbours (Å) after each atom.
Atoms (fractional coordinates):
Mn 0.0000 0.0000 0.0000  6 Co 2.48-2.49, 4 Ir 2.52, 2 Mn 2.55
Co 0.2514 0.2514 0.7629  6 Co 2.43-2.62, 3 Mn 2.48-2.49, 3 Ir 2.53-2.54
Co 0.7486 0.7486 0.2371  6 Co 2.43-2.62, 3 Mn 2.48-2.49, 3 Ir 2.53-2.54
Ir 0.5000 0.5000 0.5000  4 Mn 2.52, 6 Co 2.53-2.54, 2 Ir 2.55

ρ = 13.4 Mg/m³
Symmetry = No. 12

=====

It is model A that is the most stable of them.

=====

Model A:
First-principles (GGA-PBEsol) data for crystalline CoNi2Ir at its relaxed geometry, as listed in Alexandria.

Cell lengths 4.3728, 4.3728, 4.3476 Å; angles 100.15, 100.15, 34.08 degrees
With the nearest neighbours (Å) after each atom.
Atoms (fractional coordinates):
Co 0.0000 0.0000 0.0000  7 Ni 2.49-2.56, 3 Ir 2.52, 2 Co 2.56
Ni 0.4988 0.4988 0.4907  4 Co 2.49-2.56, 5 Ni 2.50-2.56, 3 Ir 2.55
Ni 0.7483 0.7483 0.2511  5 Ni 2.50-2.56, 3 Co 2.51-2.54, 4 Ir 2.52-2.53
Ir 0.2502 0.2502 0.7528  3 Co 2.52, 7 Ni 2.52-2.55, 2 Ir 2.56

ρ = 13.4 Mg/m³
Symmetry = No. 8

=====

Model B:
First-principles (GGA-PBEsol) data for crystalline CoNi2Ir at its relaxed geometry, as listed in Alexandria.

Cell lengths 4.3809, 4.3809, 2.5551 Å; angles 90.00, 90.00, 109.86 degrees
With the nearest neighbours (Å) after each atom.
Atoms (fractional coordinates):
Co 0.0000 0.0000 0.0000  2 Ir 2.52, 8 Ni 2.54, 2 Co 2.56
Ni 0.0000 0.5000 0.5000  4 Ni 2.52-2.56, 4 Co 2.54, 4 Ir 2.54
Ni 0.5000 0.0000 0.5000  4 Ni 2.52-2.56, 4 Co 2.54, 4 Ir 2.54
Ir 0.5000 0.5000 0.0000  2 Co 2.52, 8 Ni 2.54, 2 Ir 2.56

ρ = 13.3 Mg/m³
Symmetry = No. 65

=====

It is model A that is the most stable of them.